Density functional theory data (GGA-PBE) for crystalline NdDyTh2Sb5 at its relaxed geometry.

abc: 5.2586 5.2586 11.6282
angles: 90.00 90.00 90.00
With the nearest neighbours (Å) after each atom.
Fractional coordinates of all 9 atoms:
Nd: 0.0000 0.0000 0.0000  2 Sb 2.92
Dy: 0.0000 0.0000 0.5000  6 Sb 2.63-2.89
Th: 0.5000 0.5000 0.3023  9 Sb 3.49-3.77
Th: 0.5000 0.5000 0.6977  9 Sb 3.49-3.77
Sb: 0.0000 0.0000 0.2514  1 Dy 2.89, 1 Nd 2.92
Sb: 0.0000 0.0000 0.7486  1 Dy 2.89, 1 Nd 2.92
Sb: 0.0000 0.5000 0.5000  2 Dy 2.63
Sb: 0.5000 0.0000 0.5000  2 Dy 2.63
Sb: 0.5000 0.5000 0.0000  2 Th 3.52, 4 Nd 3.72

Crystal system: tetragonal
Magnetic moment in μB/f.u.: 0.0
DOS(E_F) in states/eV per atom: 0.564
Calculated volume in Å³ per cell: 321.5
Formation energy (no corrections) in eV per atom: -0.208
Density in g cm⁻³: 7.1
Space-group type: P4/mmm (123)

=====

Density functional theory data (GGA-PBE) for crystalline NdDy2TmSb4 at its relaxed geometry.

abc: 7.6354 7.6354 7.6354
angles: 131.80 131.80 70.55
With the nearest neighbours (Å) after each atom.
Fractional coordinates of all 8 atoms:
Nd: 0.0000 0.0000 0.0000  6 Sb 3.12-3.17
Dy: 0.2500 0.7500 0.5000  6 Sb 3.12
Dy: 0.7500 0.2500 0.5000  6 Sb 3.12
Tm: 0.5000 0.5000 0.0000  6 Sb 3.06-3.12
Sb: 0.0000 0.5000 0.5000  2 Dy 3.12, 2 Nd 3.12, 2 Tm 3.12
Sb: 0.2546 0.2546 0.0000  1 Tm 3.06, 4 Dy 3.12, 1 Nd 3.17
Sb: 0.5000 0.0000 0.5000  2 Dy 3.12, 2 Nd 3.12, 2 Tm 3.12
Sb: 0.7454 0.7454 0.0000  1 Tm 3.06, 4 Dy 3.12, 1 Nd 3.17

Crystal system: tetragonal
Magnetic moment in μB/f.u.: 0.0
DOS(E_F) in states/eV per atom: 0.151
Calculated volume in Å³ per cell: 242.4
Formation energy (no corrections) in eV per atom: -1.122
Density in g cm⁻³: 7.7
Space-group type: I4/mmm (139)

=====

Density functional theory data (GGA-PBE) for crystalline Nd2Dy3TmSb6 at its relaxed geometry.

abc: 9.8908 9.8908 8.8464
angles: 102.91 102.91 25.86
With the nearest neighbours (Å) after each atom.
Fractional coordinates of all 12 atoms:
Nd: 0.1655 0.1655 0.3322  6 Sb 3.16-3.18
Nd: 0.8345 0.8345 0.6678  6 Sb 3.16-3.18
Dy: 0.1683 0.1683 0.8340  6 Sb 3.09-3.13
Dy: 0.5000 0.5000 0.5000  6 Sb 3.10-3.15
Dy: 0.8317 0.8317 0.1660  6 Sb 3.09-3.13
Tm: 0.5000 0.5000 0.0000  6 Sb 3.10-3.11
Sb: 0.0031 0.0031 0.7541  3 Dy 3.10-3.15, 2 Tm 3.11, 1 Nd 3.16
Sb: 0.3351 0.3351 0.4117  3 Dy 3.09-3.10, 3 Nd 3.17-3.18
Sb: 0.3349 0.3349 0.9239  3 Dy 3.09-3.13, 1 Tm 3.10, 2 Nd 3.17
Sb: 0.6651 0.6651 0.0761  3 Dy 3.09-3.13, 1 Tm 3.10, 2 Nd 3.17
Sb: 0.6649 0.6649 0.5883  3 Dy 3.09-3.10, 3 Nd 3.17-3.18
Sb: 0.9969 0.9969 0.2459  3 Dy 3.10-3.15, 2 Tm 3.11, 1 Nd 3.16

Crystal system: monoclinic
Magnetic moment in μB/f.u.: 0.0
DOS(E_F) in states/eV per atom: 0.161
Calculated volume in Å³ per cell: 367.4
Formation energy (no corrections) in eV per atom: -1.134
Density in g cm⁻³: 7.6
Space-group type: C2/m (12)

=====

Density functional theory data (GGA-PBE) for crystalline Nd2DyTm3Sb6 at its relaxed geometry.

abc: 9.8521 9.8521 8.8126
angles: 102.81 102.81 25.87
With the nearest neighbours (Å) after each atom.
Fractional coordinates of all 12 atoms:
Nd: 0.1659 0.1659 0.3324  6 Sb 3.17-3.18
Nd: 0.8341 0.8341 0.6676  6 Sb 3.17-3.18
Dy: 0.5000 0.5000 0.0000  6 Sb 3.12-3.13
Tm: 0.1678 0.1678 0.8339  6 Sb 3.06-3.09
Tm: 0.5000 0.5000 0.5000  6 Sb 3.07-3.11
Tm: 0.8322 0.8322 0.1661  6 Sb 3.06-3.09
Sb: 0.0035 0.0035 0.7496  3 Tm 3.07-3.11, 2 Dy 3.13, 1 Nd 3.17
Sb: 0.3331 0.3331 0.9253  3 Tm 3.06-3.09, 1 Dy 3.12, 2 Nd 3.17
Sb: 0.3360 0.3360 0.4098  3 Tm 3.07, 3 Nd 3.17-3.18
Sb: 0.6640 0.6640 0.5902  3 Tm 3.07, 3 Nd 3.17-3.18
Sb: 0.6669 0.6669 0.0747  3 Tm 3.06-3.09, 1 Dy 3.12, 2 Nd 3.17
Sb: 0.9965 0.9965 0.2504  3 Tm 3.07-3.11, 2 Dy 3.13, 1 Nd 3.17

Crystal system: monoclinic
Magnetic moment in μB/f.u.: 0.0
DOS(E_F) in states/eV per atom: 0.160
Calculated volume in Å³ per cell: 363.4
Formation energy (no corrections) in eV per atom: -1.113
Density in g cm⁻³: 7.7
Space-group type: C2/m (12)

=====

Density functional theory data (GGA-PBE) for crystalline Nd2Dy3YSb6 at its relaxed geometry.

abc: 9.9118 9.9118 8.8650
angles: 102.87 102.87 25.86
With the nearest neighbours (Å) after each atom.
Fractional coordinates of all 12 atoms:
Nd: 0.1658 0.1658 0.3323  6 Sb 3.17-3.19
Nd: 0.8342 0.8342 0.6677  6 Sb 3.17-3.19
Dy: 0.1677 0.1677 0.8338  6 Sb 3.10-3.12
Dy: 0.5000 0.5000 0.5000  6 Sb 3.10-3.13
Dy: 0.8323 0.8323 0.1662  6 Sb 3.10-3.12
Y: 0.5000 0.5000 0.0000  6 Sb 3.13-3.14
Sb: 0.0027 0.0027 0.7511  3 Dy 3.10-3.13, 2 Y 3.14, 1 Nd 3.17
Sb: 0.3337 0.3337 0.9233  3 Dy 3.10-3.12, 1 Y 3.13, 2 Nd 3.17
Sb: 0.3352 0.3352 0.4117  3 Dy 3.10, 3 Nd 3.18-3.19
Sb: 0.6648 0.6648 0.5883  3 Dy 3.10, 3 Nd 3.18-3.19
Sb: 0.6663 0.6663 0.0767  3 Dy 3.10-3.12, 1 Y 3.13, 2 Nd 3.17
Sb: 0.9973 0.9973 0.2489  3 Dy 3.10-3.13, 2 Y 3.14, 1 Nd 3.17

Crystal system: monoclinic
Magnetic moment in μB/f.u.: 0.0
DOS(E_F) in states/eV per atom: 0.161
Calculated volume in Å³ per cell: 369.8
Formation energy (no corrections) in eV per atom: -1.153
Density in g cm⁻³: 7.2
Space-group type: C2/m (12)

=====

Density functional theory data (GGA-PBE) for crystalline Nd2DyY3Sb6 at its relaxed geometry.

abc: 7.6856 7.6856 7.6784
angles: 99.60 99.60 120.01
With the nearest neighbours (Å) after each atom.
Fractional coordinates of all 12 atoms:
Nd: 0.1660 0.8340 0.0000  6 Sb 3.17-3.18
Nd: 0.8340 0.1660 0.0000  6 Sb 3.17-3.18
Dy: 0.5000 0.5000 0.0000  6 Sb 3.13
Y: 0.0000 0.0000 0.5000  6 Sb 3.10-3.14
Y: 0.3312 0.6688 0.5000  6 Sb 3.10-3.13
Y: 0.6688 0.3312 0.5000  6 Sb 3.10-3.13
Sb: 0.0869 0.4153 0.7453  3 Y 3.10-3.13, 1 Dy 3.13, 2 Nd 3.17-3.18
Sb: 0.2576 0.2576 0.2567  3 Y 3.11-3.14, 1 Dy 3.13, 2 Nd 3.18
Sb: 0.4153 0.0869 0.7453  3 Y 3.10-3.13, 1 Dy 3.13, 2 Nd 3.17-3.18
Sb: 0.5847 0.9131 0.2547  3 Y 3.10-3.13, 1 Dy 3.13, 2 Nd 3.17-3.18
Sb: 0.7424 0.7424 0.7433  3 Y 3.11-3.14, 1 Dy 3.13, 2 Nd 3.18
Sb: 0.9131 0.5847 0.2547  3 Y 3.10-3.13, 1 Dy 3.13, 2 Nd 3.17-3.18

Crystal system: monoclinic
Magnetic moment in μB/f.u.: 0.0
DOS(E_F) in states/eV per atom: 0.185
Calculated volume in Å³ per cell: 370.2
Formation energy (no corrections) in eV per atom: -1.164
Density in g cm⁻³: 6.5
Space-group type: C2/m (12)

=====

Density functional theory data (GGA-PBE) for crystalline NdDy2Y3Sb6 at its relaxed geometry.

abc: 7.6444 7.6444 7.6385
angles: 99.60 99.60 120.01
With the nearest neighbours (Å) after each atom.
Fractional coordinates of all 12 atoms:
Nd: 0.0000 0.0000 0.0000  6 Sb 3.16
Dy: 0.3326 0.6674 0.0000  6 Sb 3.11-3.12
Dy: 0.6674 0.3326 0.0000  6 Sb 3.11-3.12
Y: 0.1645 0.8355 0.5000  6 Sb 3.10-3.12
Y: 0.5000 0.5000 0.5000  6 Sb 3.08-3.12
Y: 0.8355 0.1645 0.5000  6 Sb 3.10-3.12
Sb: 0.0845 0.4228 0.2531  3 Y 3.10-3.12, 2 Dy 3.11-3.12, 1 Nd 3.16
Sb: 0.2550 0.2550 0.7490  3 Y 3.08-3.11, 2 Dy 3.11, 1 Nd 3.16
Sb: 0.4228 0.0845 0.2531  3 Y 3.10-3.12, 2 Dy 3.11-3.12, 1 Nd 3.16
Sb: 0.5772 0.9155 0.7469  3 Y 3.10-3.12, 2 Dy 3.11-3.12, 1 Nd 3.16
Sb: 0.7450 0.7450 0.2510  3 Y 3.08-3.11, 2 Dy 3.11, 1 Nd 3.16
Sb: 0.9155 0.5772 0.7469  3 Y 3.10-3.12, 2 Dy 3.11-3.12, 1 Nd 3.16

Crystal system: monoclinic
Magnetic moment in μB/f.u.: 0.0
DOS(E_F) in states/eV per atom: 0.181
Calculated volume in Å³ per cell: 364.4
Formation energy (no corrections) in eV per atom: -1.155
Density in g cm⁻³: 6.7
Space-group type: C2/m (12)

=====

Density functional theory data (GGA-PBE) for crystalline NdDy5Sc2 at its relaxed geometry.

abc: 11.2864 12.1208 7.0318
angles: 90.00 90.00 90.00
With the nearest neighbours (Å) after each atom.
Fractional coordinates of all 32 atoms:
Nd: 0.2469 0.0795 0.0000  8 Dy 3.44-3.56, 4 Sc 3.46-3.52
Nd: 0.2531 0.5795 0.0000  8 Dy 3.44-3.56, 4 Sc 3.46-3.52
Nd: 0.7469 0.4205 0.0000  8 Dy 3.44-3.56, 4 Sc 3.46-3.52
Nd: 0.7531 0.9205 0.0000  8 Dy 3.44-3.56, 4 Sc 3.46-3.52
Dy: 0.0005 0.2469 0.0000  2 Nd 3.44-3.55, 8 Dy 3.47-3.55, 2 Sc 3.50
Dy: 0.0000 0.5000 0.2547  8 Dy 3.45-3.58, 2 Sc 3.49, 2 Nd 3.51
Dy: 0.0000 0.5000 0.7453  8 Dy 3.45-3.58, 2 Sc 3.49, 2 Nd 3.51
Dy: 0.9995 0.7531 0.0000  2 Nd 3.44-3.55, 8 Dy 3.47-3.55, 2 Sc 3.50
Dy: 0.0013 0.2456 0.5000  4 Sc 3.39-3.55, 8 Dy 3.44-3.53
Dy: 0.2487 0.8330 0.2550  7 Dy 3.44-3.59, 3 Sc 3.46-3.49, 2 Nd 3.48-3.56
Dy: 0.2487 0.8330 0.7450  7 Dy 3.44-3.59, 3 Sc 3.46-3.49, 2 Nd 3.48-3.56
Dy: 0.2513 0.3330 0.2550  7 Dy 3.44-3.59, 3 Sc 3.46-3.49, 2 Nd 3.48-3.56
Dy: 0.2513 0.3330 0.7450  7 Dy 3.44-3.59, 3 Sc 3.46-3.49, 2 Nd 3.48-3.56
Dy: 0.4987 0.7456 0.5000  4 Sc 3.39-3.55, 8 Dy 3.44-3.53
Dy: 0.5000 0.0000 0.2547  8 Dy 3.45-3.58, 2 Sc 3.49, 2 Nd 3.51
Dy: 0.5000 0.0000 0.7453  8 Dy 3.45-3.58, 2 Sc 3.49, 2 Nd 3.51
Dy: 0.5005 0.2531 0.0000  2 Nd 3.44-3.55, 8 Dy 3.47-3.55, 2 Sc 3.50
Dy: 0.4995 0.7469 0.0000  2 Nd 3.44-3.55, 8 Dy 3.47-3.55, 2 Sc 3.50
Dy: 0.5013 0.2544 0.5000  4 Sc 3.39-3.55, 8 Dy 3.44-3.53
Dy: 0.7487 0.6670 0.2550  7 Dy 3.44-3.59, 3 Sc 3.46-3.49, 2 Nd 3.48-3.56
Dy: 0.7487 0.6670 0.7450  7 Dy 3.44-3.59, 3 Sc 3.46-3.49, 2 Nd 3.48-3.56
Dy: 0.7513 0.1670 0.2550  7 Dy 3.44-3.59, 3 Sc 3.46-3.49, 2 Nd 3.48-3.56
Dy: 0.7513 0.1670 0.7450  7 Dy 3.44-3.59, 3 Sc 3.46-3.49, 2 Nd 3.48-3.56
Dy: 0.9987 0.7544 0.5000  4 Sc 3.39-3.55, 8 Dy 3.44-3.53
Sc: 0.0000 0.0000 0.2578  4 Sc 3.41-3.63, 6 Dy 3.43-3.50, 2 Nd 3.46
Sc: 0.0000 0.0000 0.7422  4 Sc 3.41-3.63, 6 Dy 3.43-3.50, 2 Nd 3.46
Sc: 0.2462 0.0832 0.5000  8 Dy 3.39-3.55, 2 Sc 3.41, 2 Nd 3.52
Sc: 0.2538 0.5832 0.5000  8 Dy 3.39-3.55, 2 Sc 3.41, 2 Nd 3.52
Sc: 0.5000 0.5000 0.2578  4 Sc 3.41-3.63, 6 Dy 3.43-3.50, 2 Nd 3.46
Sc: 0.5000 0.5000 0.7422  4 Sc 3.41-3.63, 6 Dy 3.43-3.50, 2 Nd 3.46
Sc: 0.7462 0.4168 0.5000  8 Dy 3.39-3.55, 2 Sc 3.41, 2 Nd 3.52
Sc: 0.7538 0.9168 0.5000  8 Dy 3.39-3.55, 2 Sc 3.41, 2 Nd 3.52

Crystal system: orthorhombic
Magnetic moment in μB/f.u.: 0.0
DOS(E_F) in states/eV per atom: 1.401
Calculated volume in Å³ per cell: 961.9
Density in g cm⁻³: 7.2
E_form in eV per atom: 0.0320
Space-group type: Pbam (55)
Energy above the most stable polymorph in this dataset in meV/atom: 0

=====

Density functional theory data (GGA-PBE) for crystalline NdDy6Sc2 at its relaxed geometry.

abc: 7.5531 7.5531 7.5531
angles: 57.07 57.07 57.07
With the nearest neighbours (Å) after each atom.
Fractional coordinates of all 9 atoms:
Nd: 0.0000 0.0000 0.0000  6 Dy 2.83-3.10
Dy: 0.2961 0.7288 0.7288  1 Nd 2.83, 2 Dy 3.12
Dy: 0.4619 0.9463 0.9463  1 Nd 3.10, 2 Dy 3.35
Dy: 0.7288 0.2961 0.7288  1 Nd 2.83, 2 Dy 3.12
Dy: 0.7288 0.7288 0.2961  1 Nd 2.83, 2 Dy 3.12
Dy: 0.9463 0.4619 0.9463  1 Nd 3.10, 2 Dy 3.35
Dy: 0.9463 0.9463 0.4619  1 Nd 3.10, 2 Dy 3.35
Sc: 0.2633 0.2633 0.2633  1 Sc 3.32, 9 Dy 3.48-3.63
Sc: 0.4388 0.4388 0.4388  9 Dy 3.29-3.62, 1 Sc 3.32

Crystal system: trigonal
Magnetic moment in μB/f.u.: 0.0
DOS(E_F) in states/eV per atom: 1.433
Calculated volume in Å³ per cell: 284.1
Density in g cm⁻³: 7.1
E_form in eV per atom: 0.4059
Space-group type: R3m (160)
Energy above the most stable polymorph in this dataset in meV/atom: 210

=====

Density functional theory data (GGA-PBE) for crystalline NdDy5Sc2 at its relaxed geometry.

abc: 6.9840 6.9840 6.9840
angles: 120.36 120.36 89.38
With the nearest neighbours (Å) after each atom.
Fractional coordinates of all 8 atoms:
Nd: 0.0000 0.0000 0.0000  4 Sc 3.47, 8 Dy 3.49
Dy: 0.9996 0.9996 0.4998  6 Dy 3.47-3.49, 2 Nd 3.49, 4 Sc 3.49
Dy: 0.9996 0.4999 0.0000  6 Dy 3.47-3.49, 2 Nd 3.49, 4 Sc 3.49
Dy: 0.4995 0.4995 0.0000  4 Sc 3.47, 8 Dy 3.49
Dy: 0.4999 0.9996 0.0000  6 Dy 3.47-3.49, 2 Nd 3.49, 4 Sc 3.49
Dy: 0.4999 0.4999 0.5002  6 Dy 3.47-3.49, 2 Nd 3.49, 4 Sc 3.49
Sc: 0.9996 0.4996 0.5000  10 Dy 3.47-3.49, 2 Nd 3.47
Sc: 0.4996 0.9996 0.5000  10 Dy 3.47-3.49, 2 Nd 3.47

Crystal system: tetragonal
Magnetic moment in μB/f.u.: 0.0
DOS(E_F) in states/eV per atom: 1.508
Calculated volume in Å³ per cell: 239.6
Density in g cm⁻³: 7.3
E_form in eV per atom: 0.0392
Space-group type: I4mm (107)
Energy above the most stable polymorph in this dataset in meV/atom: 7